[1]
The following is a PBE calculation of crystalline DySn3Hg at its relaxed geometry, from the Alexandria database.

Cell lengths 8.766, 6.487, 9.944 Å; angles 90.00, 90.00, 90.00 degrees
Positions (direct):
Dy1 0.118 0.250 0.151
Dy2 0.382 0.750 0.651
Dy3 0.618 0.250 0.349
Dy4 0.882 0.750 0.849
Sn1 0.104 0.750 0.149
Sn2 0.211 0.000 0.884
Sn3 0.211 0.500 0.884
Sn4 0.289 0.000 0.384
Sn5 0.289 0.500 0.384
Sn6 0.396 0.250 0.649
Sn7 0.604 0.750 0.351
Sn8 0.711 0.000 0.616
Sn9 0.711 0.500 0.616
Sn10 0.789 0.000 0.116
Sn11 0.789 0.500 0.116
Sn12 0.896 0.250 0.851
Hg1 0.038 0.750 0.569
Hg2 0.462 0.250 0.069
Hg3 0.538 0.750 0.931
Hg4 0.962 0.250 0.431

Output
ΔE_f ... -274 meV/atom
Symmetry ... No. 62

=====

[2]
The following is a PBE calculation of crystalline Dy2SnHg4 at its relaxed geometry, from the Alexandria database.

Cell lengths 5.163, 5.163, 8.212 Å; angles 108.15, 108.15, 59.74 degrees
Positions (direct):
Dy1 0.222 0.222 0.164
Dy2 0.778 0.778 0.836
Sn1 0.500 0.500 0.000
Hg1 0.072 0.072 0.717
Hg2 0.359 0.359 0.579
Hg3 0.641 0.641 0.421
Hg4 0.928 0.928 0.283

Output
ΔE_f ... -351 meV/atom
Symmetry ... No. 12

=====

[3]
The following is a PBE calculation of crystalline Dy7Sn2Hg2 at its relaxed geometry, from the Alexandria database.

Cell lengths 6.928, 6.928, 7.429 Å; angles 90.00, 90.00, 108.14 degrees
Positions (direct):
Dy1 0.000 0.000 0.000
Dy2 0.000 0.500 0.281
Dy3 0.000 0.500 0.719
Dy4 0.500 0.000 0.281
Dy5 0.500 0.000 0.719
Dy6 0.500 0.500 0.252
Dy7 0.500 0.500 0.748
Sn1 0.180 0.180 0.500
Sn2 0.820 0.820 0.500
Hg1 0.286 0.714 0.000
Hg2 0.714 0.286 0.000

Output
ΔE_f ... -176 meV/atom
Symmetry ... No. 65

=====

[4]
The following is a PBE calculation of crystalline Dy2Sn4Hg at its relaxed geometry, from the Alexandria database.

Cell lengths 6.461, 6.461, 4.584 Å; angles 90.00, 90.00, 91.12 degrees
Positions (direct):
Dy1 0.246 0.754 0.000
Dy2 0.754 0.246 0.000
Sn1 0.000 0.500 0.500
Sn2 0.265 0.265 0.000
Sn3 0.500 0.000 0.500
Sn4 0.735 0.735 0.000
Hg1 0.000 0.000 0.500

Output
ΔE_f ... -421 meV/atom
Symmetry ... No. 65
Distance to the lowest polymorph of the same formula ... 0 meV per atom

=====

[5]
The following is a PBE calculation of crystalline Dy6Sn2Hg at its relaxed geometry, from the Alexandria database.

Cell lengths 8.314, 8.314, 4.344 Å; angles 90.00, 90.00, 120.00 degrees
Positions (direct):
Dy1 0.000 0.256 0.000
Dy2 0.000 0.595 0.500
Dy3 0.256 0.000 0.000
Dy4 0.405 0.405 0.500
Dy5 0.595 0.000 0.500
Dy6 0.744 0.744 0.000
Sn1 0.333 0.667 0.000
Sn2 0.667 0.333 0.000
Hg1 0.000 0.000 0.500

Output
ΔE_f ... -473 meV/atom
Symmetry ... No. 189

=====

[6]
The following is a PBE calculation of crystalline Dy4SnHg2 at its relaxed geometry, from the Alexandria database.

Cell lengths 6.386, 6.386, 6.386 Å; angles 108.71, 108.71, 111.01 degrees
Positions (direct):
Dy1 0.000 0.000 0.500
Dy2 0.000 0.500 0.000
Dy3 0.500 0.000 0.000
Dy4 0.500 0.500 0.500
Sn1 0.000 0.000 0.000
Hg1 0.000 0.500 0.500
Hg2 0.500 0.000 0.500

Output
ΔE_f ... -415 meV/atom
Symmetry ... No. 139

=====

[7]
The following is a PBE calculation of crystalline Dy5Sn2Hg at its relaxed geometry, from the Alexandria database.

Cell lengths 5.770, 5.770, 16.729 Å; angles 90.00, 90.00, 124.92 degrees
Positions (direct):
Dy1 0.090 0.910 0.586
Dy2 0.090 0.910 0.914
Dy3 0.314 0.686 0.250
Dy4 0.403 0.597 0.611
Dy5 0.403 0.597 0.889
Dy6 0.597 0.403 0.111
Dy7 0.597 0.403 0.389
Dy8 0.686 0.314 0.750
Dy9 0.910 0.090 0.086
Dy10 0.910 0.090 0.414
Sn1 0.254 0.746 0.071
Sn2 0.254 0.746 0.429
Sn3 0.746 0.254 0.571
Sn4 0.746 0.254 0.929
Hg1 0.014 0.986 0.250
Hg2 0.986 0.014 0.750

Output
ΔE_f ... -363 meV/atom
Symmetry ... No. 63

=====

[8]
The following is a PBE calculation of crystalline DySnHg at its relaxed geometry, from the Alexandria database.

Cell lengths 4.522, 4.522, 7.629 Å; angles 90.00, 90.00, 90.00 degrees
Positions (direct):
Dy1 0.250 0.250 0.183
Dy2 0.750 0.750 0.817
Sn1 0.250 0.250 0.782
Sn2 0.750 0.750 0.218
Hg1 0.250 0.750 0.500
Hg2 0.750 0.250 0.500

Output
ΔE_f ... -416 meV/atom
Symmetry ... No. 129